1.
Here is a geometry-optimized AcInRhAu structure from Alexandria via LeMat-Bulk. Energies are from PBE-GGA.

Properties
crystal system	cubic
energy of formation	-0.45	eV per atom
space-group type	F-43m, No. 216
total magnetization	0.00	Bohr magnetons per cell
final energy	-4.8218	eV per atom

Structure (CIF):
```
data_AcInRhAu
_cell_length_a 5.107
_cell_length_b 5.107
_cell_length_c 5.107
_cell_angle_alpha 60.00
_cell_angle_beta 60.00
_cell_angle_gamma 60.00
_space_group_name_H-M_alt 'P 1'
_space_group_IT_number 1
loop_
_space_group_symop_operation_xyz
'x,y,z'
loop_
_atom_site_label
_atom_site_type_symbol
_atom_site_fract_x
_atom_site_fract_y
_atom_site_fract_z
_atom_site_occupancy
Ac1 Ac 0.000 0.000 0.000 1
In1 In 0.500 0.500 0.500 1
Rh1 Rh 0.250 0.250 0.250 1
Au1 Au 0.750 0.750 0.750 1
```

2.
Here is a geometry-optimized Al2SiHg structure from Alexandria via LeMat-Bulk. Energies are from PBE-GGA.

Properties
crystal system	orthorhombic
space-group type	Cmm2, No. 35
uncorrected formation energy	0.34	eV per atom
total magnetization	0.00	Bohr magnetons per cell
final energy	-2.9666	eV per atom

Structure (CIF):
```
data_Al2SiHg
_cell_length_a 2.886
_cell_length_b 2.886
_cell_length_c 9.872
_cell_angle_alpha 90.00
_cell_angle_beta 90.00
_cell_angle_gamma 111.46
_space_group_name_H-M_alt 'P 1'
_space_group_IT_number 1
loop_
_space_group_symop_operation_xyz
'x,y,z'
loop_
_atom_site_label
_atom_site_type_symbol
_atom_site_fract_x
_atom_site_fract_y
_atom_site_fract_z
_atom_site_occupancy
Al1 Al 0.000 0.000 0.000 1
Al2 Al 0.500 0.500 0.229 1
Si1 Si 0.500 0.500 0.786 1
Hg1 Hg 0.000 0.000 0.503 1
```

3.
Here is a geometry-optimized Fe4Ni7Rh structure from Alexandria via LeMat-Bulk. Energies are from PBE-GGA.

Properties
crystal system	triclinic
energy of formation	-0.05	eV per atom
space-group type	P-1, No. 2
total magnetization	16.09	Bohr magnetons per cell
final energy	-6.8520	eV per atom

Structure (CIF):
```
data_Fe4Ni7Rh
_cell_length_a 5.091
_cell_length_b 5.651
_cell_length_c 5.691
_cell_angle_alpha 95.86
_cell_angle_beta 116.56
_cell_angle_gamma 103.15
_space_group_name_H-M_alt 'P 1'
_space_group_IT_number 1
loop_
_space_group_symop_operation_xyz
'x,y,z'
loop_
_atom_site_label
_atom_site_type_symbol
_atom_site_fract_x
_atom_site_fract_y
_atom_site_fract_z
_atom_site_occupancy
Fe1 Fe 0.011 0.327 0.348 1
Fe2 Fe 0.257 0.665 0.177 1
Fe3 Fe 0.743 0.335 0.823 1
Fe4 Fe 0.989 0.673 0.652 1
Ni1 Ni 0.000 0.000 0.000 1
Ni2 Ni 0.245 0.340 0.835 1
Ni3 Ni 0.247 0.999 0.493 1
Ni4 Ni 0.498 0.664 0.665 1
Ni5 Ni 0.502 0.336 0.335 1
Ni6 Ni 0.753 0.001 0.507 1
Ni7 Ni 0.755 0.660 0.165 1
Rh1 Rh 0.500 0.000 0.000 1
```

4.
Here is a geometry-optimized BeCoBTe structure from Alexandria via LeMat-Bulk. Energies are from PBE-GGA.

Properties
crystal system	trigonal
space-group type	R3m, No. 160
uncorrected formation energy	0.06	eV per atom
total magnetization	0.00	Bohr magnetons per cell
final energy	-5.1046	eV per atom

Structure (CIF):
```
data_BeCoBTe
_cell_length_a 6.543
_cell_length_b 6.543
_cell_length_c 6.543
_cell_angle_alpha 28.87
_cell_angle_beta 28.87
_cell_angle_gamma 28.87
_space_group_name_H-M_alt 'P 1'
_space_group_IT_number 1
loop_
_space_group_symop_operation_xyz
'x,y,z'
loop_
_atom_site_label
_atom_site_type_symbol
_atom_site_fract_x
_atom_site_fract_y
_atom_site_fract_z
_atom_site_occupancy
Be1 Be 0.000 0.000 0.000 1
Co1 Co 0.270 0.270 0.270 1
B1 B 0.630 0.630 0.630 1
Te1 Te 0.133 0.133 0.133 1
```